(1)
This record from Alexandria via LeMat-Bulk describes a relaxed AcNd2Mg5 crystal. The functional is GGA-PBE. Values from VASP.

## Properties
symmetry	I4/mmm (139)
crystal system	tetragonal
total moment	0.000	μB per atom
total energy	-22.18	eV per formula unit

Cell and atoms, written as Quantum ESPRESSO input:
```
&SYSTEM
  ibrav = 0, nat = 8, ntyp = 3
/
ATOMIC_SPECIES
Ac 227.00 Ac.upf
Nd 144.24 Nd.upf
Mg 24.30 Mg.upf
CELL_PARAMETERS angstrom
-2.718 2.718 7.921
2.718 -2.718 7.921
2.718 2.718 -7.921
ATOMIC_POSITIONS crystal
Ac 0.000 0.000 0.000
Nd 0.262 0.262 0.000
Nd 0.738 0.738 0.000
Mg 0.125 0.625 0.500
Mg 0.375 0.875 0.500
Mg 0.500 0.500 0.000
Mg 0.625 0.125 0.500
Mg 0.875 0.375 0.500
```

(2)
This record from Alexandria via LeMat-Bulk describes a relaxed AcNdMg3 crystal. The functional is GGA-PBE. Values from VASP.

## Properties
symmetry	Cmcm (63)
crystal system	orthorhombic
total moment	0.000	μB per atom
total energy	-11.94	eV per formula unit

Cell and atoms, written as Quantum ESPRESSO input:
```
&SYSTEM
  ibrav = 0, nat = 10, ntyp = 3
/
ATOMIC_SPECIES
Ac 227.00 Ac.upf
Nd 144.24 Nd.upf
Mg 24.30 Mg.upf
CELL_PARAMETERS angstrom
4.387 -7.843 0.000
4.387 7.843 0.000
0.000 0.000 5.468
ATOMIC_POSITIONS crystal
Ac 0.103 0.897 0.750
Ac 0.897 0.103 0.250
Nd 0.320 0.680 0.750
Nd 0.680 0.320 0.250
Mg 0.084 0.589 0.250
Mg 0.411 0.916 0.250
Mg 0.500 0.500 0.000
Mg 0.500 0.500 0.500
Mg 0.589 0.084 0.750
Mg 0.916 0.411 0.750
```

(3)
This record from Alexandria via LeMat-Bulk describes a relaxed Ac5NdMg6 crystal. The functional is GGA-PBE. Values from VASP.

## Properties
symmetry	Cmmm (65)
crystal system	orthorhombic
total moment	0.000	μB per atom
total energy	-35.86	eV per formula unit

Cell and atoms, written as Quantum ESPRESSO input:
```
&SYSTEM
  ibrav = 0, nat = 12, ntyp = 3
/
ATOMIC_SPECIES
Ac 227.00 Ac.upf
Nd 144.24 Nd.upf
Mg 24.30 Mg.upf
CELL_PARAMETERS angstrom
2.884 -8.654 0.000
2.884 8.654 0.000
0.000 0.000 8.159
ATOMIC_POSITIONS crystal
Ac 0.000 0.000 0.000
Ac 0.332 0.668 0.000
Ac 0.333 0.667 0.500
Ac 0.667 0.333 0.500
Ac 0.668 0.332 0.000
Nd 0.000 0.000 0.500
Mg 0.162 0.838 0.256
Mg 0.162 0.838 0.744
Mg 0.500 0.500 0.260
Mg 0.500 0.500 0.740
Mg 0.838 0.162 0.256
Mg 0.838 0.162 0.744
```

(4)
This record from Alexandria via LeMat-Bulk describes a relaxed AcNd2Mg2 crystal. The functional is GGA-PBE. Values from VASP.

## Properties
symmetry	Cmmm (65)
crystal system	orthorhombic
total moment	0.000	μB per atom
total energy	-16.62	eV per formula unit

Cell and atoms, written as Quantum ESPRESSO input:
```
&SYSTEM
  ibrav = 0, nat = 5, ntyp = 3
/
ATOMIC_SPECIES
Ac 227.00 Ac.upf
Nd 144.24 Nd.upf
Mg 24.30 Mg.upf
CELL_PARAMETERS angstrom
2.025 -10.615 0.000
2.025 10.615 0.000
0.000 0.000 3.886
ATOMIC_POSITIONS crystal
Ac 0.000 0.000 0.000
Nd 0.184 0.816 0.000
Nd 0.816 0.184 0.000
Mg 0.399 0.601 0.500
Mg 0.601 0.399 0.500
```

Looking at DOS at the Fermi energy for the records above, in order, we have 0.874 0.951 1.105 1.071 states/eV/atom.